No. 1
DFT (PBE) results for a relaxed structure of SrCaHf2Mg.

```
data_SrCaHf2Mg
_chemical_formula_sum 'Sr1 Ca1 Hf2 Mg1'
_cell_length_a 5.324
_cell_length_b 5.324
_cell_length_c 5.675
_cell_angle_alpha 90.00
_cell_angle_beta 90.00
_cell_angle_gamma 90.00
_symmetry_space_group_name_H-M 'P 4/m m m'
_symmetry_Int_Tables_number 123
_symmetry_space_group_name_Hall '-P 4 2'
loop_
_atom_site_label
_atom_site_fract_x
_atom_site_fract_y
_atom_site_fract_z
Sr1 0.000 0.000 0.000
Ca1 0.000 0.000 0.500
Hf1 0.000 0.500 0.500
Mg1 0.500 0.500 0.000
```

---

No. 2
DFT (PBE) results for a relaxed structure of Ac3Sm3In2Hg.

```
data_Ac3Sm3In2Hg
_chemical_formula_sum 'Ac3 Sm3 In2 Hg1'
_cell_length_a 9.4574
_cell_length_b 9.4574
_cell_length_c 3.9375
_cell_angle_alpha 90.00
_cell_angle_beta 90.00
_cell_angle_gamma 120.00
_symmetry_space_group_name_H-M 'P -6 2 m'
_symmetry_Int_Tables_number 189
_symmetry_space_group_name_Hall 'P -6 -2'
loop_
_atom_site_label
_atom_site_fract_x
_atom_site_fract_y
_atom_site_fract_z
Ac1 0.0000 0.7230 0.0000
Sm1 0.0000 0.3951 0.5000
In1 0.3333 0.6667 0.0000
Hg1 0.0000 0.0000 0.5000
```

---

No. 3
DFT (PBE) results for a relaxed structure of GdTlRh.

Values from the calculation:
excess energy over the best structure of this formula in the dataset = 73 meV per atom

```
data_GdTlRh
_chemical_formula_sum 'Gd1 Tl1 Rh1'
_cell_length_a 4.7680
_cell_length_b 4.7680
_cell_length_c 3.4440
_cell_angle_alpha 90.00
_cell_angle_beta 90.00
_cell_angle_gamma 120.00
_symmetry_space_group_name_H-M 'P -6 m 2'
_symmetry_Int_Tables_number 187
_symmetry_space_group_name_Hall 'P -6 2'
loop_
_atom_site_label
_atom_site_fract_x
_atom_site_fract_y
_atom_site_fract_z
Gd1 0.0000 0.0000 0.0000
Tl1 0.3333 0.6667 0.5000
Rh1 0.6667 0.3333 0.5000
```

---

Number 1: ρ 5.25 Mg/m³, E_form 1.455 eV/atom, uncorrected energy -3.582 eV per atom. Number 2: ρ 8.51 Mg/m³, E_form -0.263 eV/atom, uncorrected energy -3.848 eV per atom. Number 3: ρ 11.38 Mg/m³, E_form -0.379 eV/atom, uncorrected energy -8.312 eV per atom.